# MgAsRh2O6 (GGA-PBE, relaxed)
data_MgAsRh2O6
_cell_length_a 4.264
_cell_length_b 5.486
_cell_length_c 5.486
_cell_angle_alpha 90.00
_cell_angle_beta 90.00
_cell_angle_gamma 90.00
_space_group_name_H-M_alt 'P 1'
_space_group_IT_number 1
_space_group_name_Hall 'P 1'
loop_
_atom_site_label
_atom_site_fract_x
_atom_site_fract_y
_atom_site_fract_z
Mg1 0.621 0.500 0.500
As1 0.615 0.000 0.000
Rh1 0.911 0.500 0.000
Rh2 0.911 0.000 0.500
O1 0.753 0.232 0.232
O2 0.753 0.232 0.768
O3 0.150 0.500 0.500
O4 0.226 0.000 0.000
O5 0.753 0.768 0.768
O6 0.753 0.768 0.232
# formation energy from raw total energies	-0.7309	eV/atom
# N(E_F)	0.493	states/eV per atom
# volume	128.35	Å³/cell
# space-group type	P4mm